A relaxed structure of Y6Tc2Sn. Source: Alexandria via LeMat-Bulk, functional PBE.

For the spin magnetization, the calculation gives 0.000 μB per formula unit. For the total energy, the calculation gives -7.310 eV/atom. The density of states at the Fermi level comes out at 1.175 states/eV per atom.

The structure belongs to space group Immm (No. 71); the cell edges are 9.575, 9.625 and 10.459 Å and the angles 90.00°, 90.00° and 90.00°. The asymmetric unit holds Y at (0.000, 0.202, 0.181), Y at (0.190, 0.219, 0.500), Y at (0.214, 0.500, 0.262), Tc at (0.000, 0.000, 0.386), Tc at (0.132, 0.000, 0.000), Sn at (0.000, 0.500, 0.000) and Sn at (0.000, 0.500, 0.500).

A relaxed structure of Na2YMgTc. Source: Alexandria via LeMat-Bulk, functional PBE.

As for the energy above the most stable polymorph in this dataset: 0 meV per atom. For the spin magnetization, the calculation gives 1.121 μB per formula unit. For the total energy, the calculation gives -3.171 eV/atom. The density of states at the Fermi level comes out at 0.505 states/eV per atom.

The structure belongs to space group P4/mmm (No. 123); the cell edges are 5.243, 5.243 and 5.094 Å and the angles 90.00°, 90.00° and 90.00°. The asymmetric unit holds Na at (0.000, 0.500, 0.000), Y at (0.000, 0.000, 0.500), Mg at (0.500, 0.500, 0.500) and Tc at (0.500, 0.500, 0.000).

A relaxed structure of LaNiTe. Source: Alexandria via LeMat-Bulk, functional PBE.

For the spin magnetization, the calculation gives 0.345 μB per formula unit. For the total energy, the calculation gives -4.999 eV/atom. The density of states at the Fermi level comes out at 0.942 states/eV per atom. The formation energy from raw total energies is -382 meV/atom.

The structure belongs to space group Amm2 (No. 38); the cell edges are 11.095, 4.059 and 7.018 Å and the angles 90.00°, 90.00° and 90.00°. The asymmetric unit holds La at (0.164, 0.000, 0.000), Ni at (0.000, 0.000, 0.666), Ni at (0.500, 0.000, 0.998) and Te at (0.359, 0.000, 0.666).

A relaxed structure of C3Se. Source: Alexandria via LeMat-Bulk, functional PBE.

As for the energy above the most stable polymorph in this dataset: 937 meV per atom. For the spin magnetization, the calculation gives 0.000 μB per formula unit. For the total energy, the calculation gives -5.529 eV/atom. The formation energy from raw total energies is 2260 meV/atom.

The structure belongs to space group P6_3/mmc (No. 194); the cell edges are 4.5808, 4.5808 and 8.5180 Å and the angles 90.00°, 90.00° and 120.00°. The asymmetric unit holds C at (0.1044, 0.2088, 0.2500) and Se at (0.3333, 0.6667, 0.7500).

A relaxed structure of NpPaSn. Source: Alexandria via LeMat-Bulk, functional PBE.

As for the energy above the most stable polymorph in this dataset: 87 meV per atom. For the spin magnetization, the calculation gives 5.008 μB per formula unit. For the total energy, the calculation gives -8.728 eV/atom. The density of states at the Fermi level comes out at 3.060 states/eV per atom.

The structure belongs to space group Cmcm (No. 63); the cell edges are 5.636, 8.465 and 6.402 Å and the angles 90.00°, 90.00° and 90.00°. The asymmetric unit holds Np at (0.000, 0.214, 0.250), Pa at (0.000, 0.500, 0.000) and Sn at (0.000, 0.150, 0.750).

A relaxed structure of Li2CrBr. Source: Alexandria via LeMat-Bulk, functional PBE.

As for the energy above the most stable polymorph in this dataset: 30 meV per atom. For the spin magnetization, the calculation gives 5.051 μB per formula unit. For the total energy, the calculation gives -3.883 eV/atom. The density of states at the Fermi level comes out at 0.285 states/eV per atom. The formation energy from raw total energies is -102 meV/atom.

The structure belongs to space group Cm (No. 8); the cell edges are 12.777, 3.600 and 3.592 Å and the angles 90.00°, 90.07° and 90.00°. The asymmetric unit holds Li at (0.000, 0.000, 0.000), Li at (0.133, 0.500, 0.500), Cr at (0.391, 0.000, 0.499) and Br at (0.203, 0.000, 0.001).

A relaxed structure of HPbSe2Br. Source: Alexandria via LeMat-Bulk, functional PBE.

As for the energy above the most stable polymorph in this dataset: 624 meV per atom. For the spin magnetization, the calculation gives 3.309 μB per formula unit. For the total energy, the calculation gives -2.441 eV/atom. The density of states at the Fermi level comes out at 1.228 states/eV per atom.

The structure belongs to space group P4/mmm (No. 123); the cell edges are 5.736, 5.736 and 5.923 Å and the angles 90.00°, 90.00° and 90.00°. The asymmetric unit holds H at (0.000, 0.000, 0.000), Pb at (0.500, 0.500, 0.500), Se at (0.000, 0.500, 0.500) and Br at (0.500, 0.500, 0.000).

A relaxed structure of Tb19Ho4Er6. Source: Alexandria via LeMat-Bulk, functional PBE.

For the spin magnetization, the calculation gives 0.003 μB per formula unit. For the total energy, the calculation gives -4.220 eV/atom. The density of states at the Fermi level comes out at 1.531 states/eV per atom.

The structure belongs to space group I23 (No. 197); the cell edges are 12.402, 12.402 and 12.402 Å and the angles 90.00°, 90.00° and 90.00°. The asymmetric unit holds Tb at (0.000, 0.000, 0.000), Tb at (0.000, 0.000, 0.262), Tb at (0.063, 0.263, 0.278), Ho at (0.179, 0.179, 0.821) and Er at (0.000, 0.373, 0.500).

A relaxed structure of Zr2TaMo. Source: Alexandria via LeMat-Bulk, functional PBE.

As for the energy above the most stable polymorph in this dataset: 287 meV per atom. For the spin magnetization, the calculation gives 0.000 μB per formula unit. For the total energy, the calculation gives -9.673 eV/atom. The density of states at the Fermi level comes out at 1.563 states/eV per atom.

The structure belongs to space group P4/mmm (No. 123); the cell edges are 2.860, 2.860 and 9.671 Å and the angles 90.00°, 90.00° and 90.00°. The asymmetric unit holds Zr at (0.000, 0.000, 0.247), Ta at (0.500, 0.500, 0.500) and Mo at (0.500, 0.500, 0.000).

A relaxed structure of BaAlSiH. Source: Alexandria via LeMat-Bulk, functional PBE.

For the spin magnetization, the calculation gives 0.000 μB per formula unit. For the total energy, the calculation gives -4.054 eV/atom. The density of states at the Fermi level comes out at 0.000 states/eV per atom.

The structure belongs to space group P3m1 (No. 156); the cell edges are 4.3328, 4.3328 and 5.2193 Å and the angles 90.00°, 90.00° and 120.00°. The asymmetric unit holds Ba at (0.0000, 0.0000, 0.0000), Al at (0.3333, 0.6667, 0.4638), Si at (0.6667, 0.3333, 0.5413) and H at (0.3333, 0.6667, 0.1293).

A relaxed structure of MoPIr2. Source: Alexandria via LeMat-Bulk, functional PBE.

For the spin magnetization, the calculation gives 0.000 μB per formula unit. For the total energy, the calculation gives -8.672 eV/atom. The density of states at the Fermi level comes out at 0.609 states/eV per atom.

The structure belongs to space group P2/m (No. 10); the cell edges are 2.834, 4.089 and 5.151 Å and the angles 90.00°, 105.59° and 90.00°. The asymmetric unit holds Mo at (0.000, 0.000, 0.000), P at (0.000, 0.000, 0.500) and Ir at (0.360, 0.500, 0.738).

A relaxed structure of Ac6CdCo4. Source: Alexandria via LeMat-Bulk, functional PBE.

For the spin magnetization, the calculation gives 0.000 μB per formula unit. For the total energy, the calculation gives -4.875 eV/atom. The density of states at the Fermi level comes out at 0.662 states/eV per atom.

The structure belongs to space group Cmcm (No. 63); the cell edges are 4.256, 13.973 and 21.845 Å and the angles 90.00°, 90.00° and 90.00°. The asymmetric unit holds Ac at (0.000, 0.000, 0.000), Ac at (0.000, 0.151, 0.250), Ac at (0.000, 0.266, 0.583), Ac at (0.000, 0.466, 0.148), Cd at (0.000, 0.152, 0.750), Co at (0.000, 0.104, 0.130) and Co at (0.000, 0.365, 0.042).